Compound: AlPt3O8
Source: Alexandria
Functional: PBE-GGA
Structure: relaxed

Results
ρ = 7.6 Mg/m³
calculated total energy = -6.01 eV/atom
formation energy (no corrections) = -0.89 eV per atom

Structure (POSCAR):
```
AlPt3O8
1.0
5.173 -3.082 0.000
5.173 3.082 0.000
-3.418 0.000 5.040
Al Pt O
1 3 8
Direct
0.000 0.000 0.000
0.000 0.500 0.500
0.500 0.000 0.500
0.500 0.500 0.000
0.227 0.227 0.262
0.227 0.742 0.777
0.258 0.773 0.223
0.265 0.265 0.731
0.735 0.735 0.269
0.742 0.227 0.777
0.773 0.258 0.223
0.773 0.773 0.738
```